This record from Alexandria describes crystalline Pm2ScFeO6 at its relaxed geometry. The functional is GGA+U.

- Crystal system: monoclinic
- Space group: P2_1/c (14)

a b c (Å): 5.466 5.676 9.520
angles (deg): 90.00 124.63 90.00
Sites, in units of the cell vectors:
Pm 0.234 0.058 0.250
Pm 0.234 0.442 0.750
Pm 0.766 0.558 0.250
Pm 0.766 0.942 0.750
Sc 0.500 0.000 0.000
Sc 0.500 0.500 0.500
Fe 0.000 0.000 0.500
Fe 0.000 0.500 0.000
O 0.142 0.210 0.948
O 0.142 0.290 0.448
O 0.239 0.697 0.949
O 0.239 0.803 0.449
O 0.340 0.031 0.742
O 0.340 0.469 0.242
O 0.660 0.531 0.758
O 0.660 0.969 0.258
O 0.761 0.197 0.551
O 0.761 0.303 0.051
O 0.858 0.710 0.552
O 0.858 0.790 0.052



This record from Alexandria describes crystalline PmFeSe2O8 at its relaxed geometry. The functional is GGA+U.

- Crystal system: trigonal
- Space group: P-3m1 (164)

a b c (Å): 5.619 5.619 6.757
angles (deg): 90.00 90.00 120.00
Sites, in units of the cell vectors:
Pm 0.000 0.000 0.000
Fe 0.000 0.000 0.500
Se 0.333 0.667 0.226
Se 0.667 0.333 0.774
O 0.157 0.314 0.284
O 0.157 0.843 0.284
O 0.314 0.157 0.716
O 0.333 0.667 0.978
O 0.667 0.333 0.022
O 0.686 0.843 0.284
O 0.843 0.157 0.716
O 0.843 0.686 0.716



This record from Alexandria describes crystalline PmFe2SnO6 at its relaxed geometry. The functional is GGA+U.

- Crystal system: triclinic
- Space group: P1 (1)

a b c (Å): 5.377 5.378 5.729
angles (deg): 62.19 89.35 60.16
Sites, in units of the cell vectors:
Pm 0.000 0.000 0.000
Fe 0.219 0.566 0.643
Fe 0.733 0.531 0.190
Sn 0.527 0.950 0.565
O 0.132 0.032 0.393
O 0.364 0.084 0.856
O 0.442 0.435 0.385
O 0.552 0.499 0.852
O 0.842 0.727 0.392
O 0.942 0.685 0.865



This record from Alexandria describes crystalline SrPmFeO4 at its relaxed geometry. The functional is GGA+U.

- Crystal system: monoclinic
- Space group: P2_1/m (11)

a b c (Å): 5.863 5.929 6.922
angles (deg): 90.00 108.59 90.00
Sites, in units of the cell vectors:
Sr 0.219 0.250 0.436
Sr 0.781 0.750 0.564
Pm 0.311 0.250 0.962
Pm 0.689 0.750 0.038
Fe 0.236 0.750 0.184
Fe 0.764 0.250 0.816
O 0.024 0.750 0.917
O 0.027 0.750 0.341
O 0.470 0.515 0.221
O 0.470 0.985 0.221
O 0.530 0.015 0.779
O 0.530 0.485 0.779
O 0.973 0.250 0.659
O 0.976 0.250 0.083



This record from Alexandria describes crystalline SrPm4Fe3O12 at its relaxed geometry. The functional is GGA+U.

- Crystal system: cubic
- Space group: Im-3 (204)

a b c (Å): 7.236 7.236 7.236
angles (deg): 109.47 109.47 109.47
Sites, in units of the cell vectors:
Sr 0.000 0.000 0.000
Pm 0.000 0.000 0.500
Pm 0.000 0.500 0.000
Pm 0.500 0.000 0.000
Pm 0.500 0.500 0.500
Fe 0.000 0.500 0.500
Fe 0.500 0.000 0.500
Fe 0.500 0.500 0.000
O 0.150 0.329 0.480
O 0.150 0.671 0.821
O 0.179 0.850 0.329
O 0.329 0.179 0.850
O 0.329 0.480 0.150
O 0.480 0.150 0.329
O 0.520 0.850 0.671
O 0.671 0.520 0.850
O 0.671 0.821 0.150
O 0.821 0.150 0.671
O 0.850 0.329 0.179
O 0.850 0.671 0.520



This record from Alexandria describes crystalline Pm2TaFeO6 at its relaxed geometry. The functional is GGA+U.

- Crystal system: tetragonal
- Space group: P4mm (99)

a b c (Å): 5.554 5.554 4.106
angles (deg): 90.00 90.00 90.00
Sites, in units of the cell vectors:
Pm 0.000 0.500 0.000
Pm 0.500 0.000 0.000
Ta 0.000 0.000 0.570
Fe 0.500 0.500 0.604
O 0.000 0.000 0.085
O 0.250 0.250 0.630
O 0.250 0.750 0.630
O 0.500 0.500 0.105
O 0.750 0.250 0.630
O 0.750 0.750 0.630



Record order is preserved below.
Raw total energy: -79.50; -72.19; -67.95; -49.21; -143.18; -80.50 eV/f.u.